1.
First-principles (PBE-GGA) data for a relaxed structure of LaSmInPd, as listed in Alexandria.

The total magnetization comes out at 0.00 μB/atom. The crystal system is cubic. The calculated density is 7.83 g/cm3. The formation enthalpy at 0 K comes out at -12.34 kcal/mol of atoms.

Unit cell a=7.567 b=7.567 c=7.567 alpha=90.00 beta=90.00 gamma=90.00
Space group F-43m (No. 216)
Symmetry-distinct sites (fractional):
La: 0.000 0.000 0.000
Sm: 0.000 0.000 0.500
In: 0.250 0.250 0.250
Pd: 0.250 0.250 0.750

---

2.
First-principles (PBE-GGA) data for a relaxed structure of SrAlCo2, as listed in Alexandria.

The total magnetization comes out at 0.38 μB/atom. The crystal system is tetragonal. The calculated density is 5.59 g/cm3. The formation enthalpy at 0 K comes out at 13.67 kcal/mol of atoms.

Unit cell a=3.875 b=3.875 c=9.191 alpha=90.00 beta=90.00 gamma=90.00
Space group I-4m2 (No. 119)
Symmetry-distinct sites (fractional):
Sr: 0.000 0.000 0.000
Al: 0.000 0.500 0.750
Co: 0.000 0.000 0.500
Co: 0.000 0.500 0.250

---

3.
First-principles (PBE-GGA) data for a relaxed structure of Ba2NaLiCu, as listed in Alexandria.

The total magnetization comes out at 0.00 μB/atom. The crystal system is tetragonal. The calculated density is 2.79 g/cm3. The formation enthalpy at 0 K comes out at 2.74 kcal/mol of atoms.

Unit cell a=6.256 b=6.256 c=5.591 alpha=90.00 beta=90.00 gamma=90.00
Space group P4/mmm (No. 123)
Symmetry-distinct sites (fractional):
Ba: 0.000 0.500 0.000
Na: 0.000 0.000 0.500
Li: 0.500 0.500 0.500
Cu: 0.000 0.000 0.000

---

4.
First-principles (PBE-GGA) data for a relaxed structure of NaMgCd2In, as listed in Alexandria.

The total magnetization comes out at 0.00 μB/atom. The crystal system is orthorhombic. The calculated density is 5.08 g/cm3. The formation enthalpy at 0 K comes out at -1.07 kcal/mol of atoms.

Unit cell a=4.923 b=11.307 c=9.087 alpha=90.00 beta=90.00 gamma=90.00
Space group Cmcm (No. 63)
Symmetry-distinct sites (fractional):
Na: 0.000 0.052 0.250
Mg: 0.000 0.338 0.250
Cd: 0.000 0.223 0.583
In: 0.000 0.500 0.000